Entry 1:
DFT (PBE) results for a relaxed structure of CrFe3Ni.

## Properties
The density of states at the Fermi level is 6.1 states/eV/cell. The energy relative to the elements is 1.24 eV/atom.

Cell: 4.144 4.144 4.144 Å, 90.00 90.00 90.00°
Space group Pm-3m (No. 221)
Unique sites:
Cr (0.000, 0.000, 0.000)
Fe (0.000, 0.000, 0.500)
Ni (0.500, 0.500, 0.500)

Entry 2:
DFT (PBE) results for a relaxed structure of CrFeNi2.

## Properties
The density of states at the Fermi level is 11.5 states/eV/cell. The energy relative to the elements is 0.07 eV/atom.

Cell: 8.391 2.498 4.317 Å, 90.00 99.75 90.00°
Space group C2/m (No. 12)
Unique sites:
Cr (0.000, 0.000, 0.000)
Fe (0.000, 0.500, 0.500)
Ni (0.250, 0.000, 0.751)

Entry 3:
DFT (PBE) results for a relaxed structure of CrFe4Ni15.

## Properties
The density of states at the Fermi level is 16.4 states/eV/cell. The energy relative to the elements is -0.07 eV/atom.

Cell: 3.544 3.544 17.696 Å, 90.00 90.00 90.00°
Space group P4/mmm (No. 123)
Unique sites:
Cr (0.000, 0.000, 0.000)
Fe (0.000, 0.000, 0.200)
Fe (0.000, 0.000, 0.400)
Ni (0.000, 0.500, 0.100)
Ni (0.000, 0.500, 0.300)
Ni (0.000, 0.500, 0.500)
Ni (0.500, 0.500, 0.000)
Ni (0.500, 0.500, 0.200)
Ni (0.500, 0.500, 0.400)

Entry 4:
DFT (PBE) results for a relaxed structure of Cr2FeNi.

## Properties
The density of states at the Fermi level is 9.9 states/eV/cell. The energy relative to the elements is 0.16 eV/atom.

Cell: 8.409 2.431 4.462 Å, 90.00 98.24 90.00°
Space group C2/m (No. 12)
Unique sites:
Cr (0.248, 0.000, 0.248)
Fe (0.000, 0.000, 0.500)
Ni (0.000, 0.500, 0.000)

Entry 5:
DFT (PBE) results for a relaxed structure of Cr2FeNi9.

## Properties
The density of states at the Fermi level is 15.2 states/eV/cell. The energy relative to the elements is -0.03 eV/atom.

Cell: 3.547 3.547 10.645 Å, 90.00 90.00 90.00°
Space group P4/mmm (No. 123)
Unique sites:
Cr (0.000, 0.000, 0.167)
Fe (0.000, 0.000, 0.500)
Ni (0.000, 0.500, 0.000)
Ni (0.000, 0.500, 0.334)
Ni (0.500, 0.500, 0.167)
Ni (0.500, 0.500, 0.500)

Entry 6:
DFT (PBE) results for a relaxed structure of CrFeNi4.

## Properties
The density of states at the Fermi level is 24.2 states/eV/cell. The energy relative to the elements is 0.14 eV/atom.

Cell: 4.898 13.753 4.795 Å, 90.00 120.49 90.00°
Space group C2/c (No. 15)
Unique sites:
Cr (0.000, 0.125, 0.250)
Fe (0.000, 0.375, 0.750)
Ni (0.249, 0.282, 0.249)
Ni (0.250, 0.032, 0.751)